No. 1
A plane-wave DFT calculation with PBE-GGA was carried out for a geometry-optimized Sm2PuFe2 structure.

Properties
raw total energy = -8.1631 eV/atom
spin magnetization = 2.82 μB/f.u.
ΔH_f (0 K) = -0.024 eV/atom

CIF file:
```
data_Sm2PuFe2
_chemical_formula_sum 'Sm8 Pu4 Fe8'
_symmetry_space_group_name_H-M 'C 1 2/c 1'
_symmetry_Int_Tables_number 15
_cell_length_a 9.770
_cell_length_b 5.907
_cell_length_c 7.607
_cell_angle_alpha 90.00
_cell_angle_beta 99.79
_cell_angle_gamma 90.00
loop_
_symmetry_equiv_pos_as_xyz
'x,y,z'
'-x,-y,-z'
'-x,y,-z+1/2'
'x,-y,z+1/2'
'x+1/2,y+1/2,z'
'-x+1/2,-y+1/2,-z'
'-x+1/2,y+1/2,-z+1/2'
'x+1/2,-y+1/2,z+1/2'
loop_
_atom_site_label
_atom_site_type_symbol
_atom_site_fract_x
_atom_site_fract_y
_atom_site_fract_z
Sm1 Sm 0.153 0.113 0.151
Pu1 Pu 0.000 0.396 0.750
Fe1 Fe 0.121 0.382 0.510
```

=====

No. 2
A plane-wave DFT calculation with PBE-GGA was carried out for a geometry-optimized SmPu2Fe structure.

Properties
raw total energy = -10.3213 eV/atom
spin magnetization = 9.39 μB/f.u.
offset from the most stable computed form = 0 meV per atom
ΔH_f (0 K) = 0.140 eV/atom

CIF file:
```
data_SmPu2Fe
_chemical_formula_sum 'Sm1 Pu2 Fe1'
_symmetry_space_group_name_H-M 'P 4/m m m'
_symmetry_Int_Tables_number 123
_symmetry_space_group_name_Hall '-P 4 2'
_cell_length_a 3.335
_cell_length_b 3.335
_cell_length_c 8.697
_cell_angle_alpha 90.00
_cell_angle_beta 90.00
_cell_angle_gamma 90.00
loop_
_atom_site_label
_atom_site_type_symbol
_atom_site_fract_x
_atom_site_fract_y
_atom_site_fract_z
Sm1 Sm 0.000 0.000 0.000
Pu1 Pu 0.500 0.500 0.312
Fe1 Fe 0.000 0.000 0.500
```

=====

No. 3
A plane-wave DFT calculation with PBE-GGA was carried out for a geometry-optimized SmPu2Fe structure.

Properties
raw total energy = -9.9292 eV/atom
spin magnetization = 4.18 μB/f.u.
offset from the most stable computed form = 392 meV per atom
ΔH_f (0 K) = 0.532 eV/atom

CIF file:
```
data_SmPu2Fe
_chemical_formula_sum 'Sm3 Pu6 Fe3'
_symmetry_space_group_name_H-M 'R -3 m'
_symmetry_Int_Tables_number 166
_symmetry_space_group_name_Hall '-R 3 2"'
_cell_length_a 4.3319
_cell_length_b 4.3319
_cell_length_c 16.7176
_cell_angle_alpha 90.00
_cell_angle_beta 90.00
_cell_angle_gamma 120.00
loop_
_atom_site_label
_atom_site_type_symbol
_atom_site_fract_x
_atom_site_fract_y
_atom_site_fract_z
Sm1 Sm 0.0000 0.0000 0.0000
Pu1 Pu 0.0000 0.0000 0.1858
Fe1 Fe 0.0000 0.0000 0.5000
```

=====

No. 4
A plane-wave DFT calculation with PBE-GGA was carried out for a geometry-optimized SmPuZnFe structure.

Properties
raw total energy = -7.1360 eV/atom
spin magnetization = 3.86 μB/f.u.
ΔH_f (0 K) = 0.061 eV/atom

CIF file:
```
data_SmPuZnFe
_chemical_formula_sum 'Sm4 Pu4 Zn4 Fe4'
_symmetry_space_group_name_H-M 'F -4 3 m'
_symmetry_Int_Tables_number 216
_symmetry_space_group_name_Hall 'F -4 2 3'
_cell_length_a 7.008
_cell_length_b 7.008
_cell_length_c 7.008
_cell_angle_alpha 90.00
_cell_angle_beta 90.00
_cell_angle_gamma 90.00
loop_
_atom_site_label
_atom_site_type_symbol
_atom_site_fract_x
_atom_site_fract_y
_atom_site_fract_z
Sm1 Sm 0.000 0.000 0.000
Pu1 Pu 0.000 0.000 0.500
Zn1 Zn 0.250 0.250 0.750
Fe1 Fe 0.250 0.250 0.250
```

=====

No. 5
A plane-wave DFT calculation with PBE-GGA was carried out for a geometry-optimized Pu3FeSn structure.

Properties
raw total energy = -11.1817 eV/atom
spin magnetization = 15.15 μB/f.u.
ΔH_f (0 K) = -0.089 eV/atom

CIF file:
```
data_Pu3FeSn
_chemical_formula_sum 'Pu3 Fe1 Sn1'
_symmetry_space_group_name_H-M 'P m -3 m'
_symmetry_Int_Tables_number 221
_symmetry_space_group_name_Hall '-P 4 2 3'
_cell_length_a 4.998
_cell_length_b 4.998
_cell_length_c 4.998
_cell_angle_alpha 90.00
_cell_angle_beta 90.00
_cell_angle_gamma 90.00
loop_
_atom_site_label
_atom_site_type_symbol
_atom_site_fract_x
_atom_site_fract_y
_atom_site_fract_z
Pu1 Pu 0.000 0.000 0.500
Fe1 Fe 0.000 0.000 0.000
Sn1 Sn 0.500 0.500 0.500
```

=====

No. 6
A plane-wave DFT calculation with PBE-GGA was carried out for a geometry-optimized PuFeSn2 structure.

Properties
raw total energy = -7.6775 eV/atom
spin magnetization = 7.26 μB/f.u.
ΔH_f (0 K) = 0.023 eV/atom

CIF file:
```
data_PuFeSn2
_chemical_formula_sum 'Pu3 Fe3 Sn6'
_symmetry_space_group_name_H-M 'R -3 m'
_symmetry_Int_Tables_number 166
_symmetry_space_group_name_Hall '-R 3 2"'
_cell_length_a 4.4139
_cell_length_b 4.4139
_cell_length_c 16.3465
_cell_angle_alpha 90.00
_cell_angle_beta 90.00
_cell_angle_gamma 120.00
loop_
_atom_site_label
_atom_site_type_symbol
_atom_site_fract_x
_atom_site_fract_y
_atom_site_fract_z
Pu1 Pu 0.0000 0.0000 0.0000
Fe1 Fe 0.0000 0.0000 0.5000
Sn1 Sn 0.0000 0.0000 0.2222
```

=====

No. 7
A plane-wave DFT calculation with PBE-GGA was carried out for a geometry-optimized PuFeSn2 structure.

Properties
raw total energy = -7.7596 eV/atom
spin magnetization = 7.38 μB/f.u.
ΔH_f (0 K) = -0.060 eV/atom

CIF file:
```
data_PuFeSn2
_chemical_formula_sum 'Pu1 Fe1 Sn2'
_symmetry_space_group_name_H-M 'P 4/m m m'
_symmetry_Int_Tables_number 123
_symmetry_space_group_name_Hall '-P 4 2'
_cell_length_a 3.299
_cell_length_b 3.299
_cell_length_c 7.607
_cell_angle_alpha 90.00
_cell_angle_beta 90.00
_cell_angle_gamma 90.00
loop_
_atom_site_label
_atom_site_type_symbol
_atom_site_fract_x
_atom_site_fract_y
_atom_site_fract_z
Pu1 Pu 0.000 0.000 0.000
Fe1 Fe 0.000 0.000 0.500
Sn1 Sn 0.500 0.500 0.300
```

=====

No. 8
A plane-wave DFT calculation with PBE-GGA was carried out for a geometry-optimized PuZnFeSn structure.

Properties
raw total energy = -7.0208 eV/atom
spin magnetization = 3.06 μB/f.u.
ΔH_f (0 K) = -0.003 eV/atom

CIF file:
```
data_PuZnFeSn
_chemical_formula_sum 'Pu4 Zn4 Fe4 Sn4'
_symmetry_space_group_name_H-M 'F -4 3 m'
_symmetry_Int_Tables_number 216
_symmetry_space_group_name_Hall 'F -4 2 3'
_cell_length_a 6.722
_cell_length_b 6.722
_cell_length_c 6.722
_cell_angle_alpha 90.00
_cell_angle_beta 90.00
_cell_angle_gamma 90.00
loop_
_atom_site_label
_atom_site_type_symbol
_atom_site_fract_x
_atom_site_fract_y
_atom_site_fract_z
Pu1 Pu 0.000 0.000 0.000
Zn1 Zn 0.250 0.250 0.250
Fe1 Fe 0.250 0.250 0.750
Sn1 Sn 0.000 0.000 0.500
```

=====

No. 9
A plane-wave DFT calculation with PBE-GGA was carried out for a geometry-optimized Tb2PuFe structure.

Properties
raw total energy = -7.6991 eV/atom
spin magnetization = 5.46 μB/f.u.
offset from the most stable computed form = 167 meV per atom
ΔH_f (0 K) = 0.315 eV/atom

CIF file:
```
data_Tb2PuFe
_chemical_formula_sum 'Tb6 Pu3 Fe3'
_symmetry_space_group_name_H-M 'R -3 m'
_symmetry_Int_Tables_number 166
_symmetry_space_group_name_Hall '-R 3 2"'
_cell_length_a 3.5193
_cell_length_b 3.5193
_cell_length_c 29.0479
_cell_angle_alpha 90.00
_cell_angle_beta 90.00
_cell_angle_gamma 120.00
loop_
_atom_site_label
_atom_site_type_symbol
_atom_site_fract_x
_atom_site_fract_y
_atom_site_fract_z
Tb1 Tb 0.0000 0.0000 0.2297
Pu1 Pu 0.0000 0.0000 0.0000
Fe1 Fe 0.0000 0.0000 0.5000
```

=====

No. 10
A plane-wave DFT calculation with PBE-GGA was carried out for a geometry-optimized TbPu3Fe8 structure.

Properties
raw total energy = -9.5465 eV/atom
spin magnetization = 18.20 μB/f.u.
ΔH_f (0 K) = 0.064 eV/atom

CIF file:
```
data_TbPu3Fe8
_chemical_formula_sum 'Tb3 Pu9 Fe24'
_symmetry_space_group_name_H-M 'R 3 m'
_symmetry_Int_Tables_number 160
_symmetry_space_group_name_Hall 'R 3 -2"'
_cell_length_a 5.0656
_cell_length_b 5.0656
_cell_length_c 24.8964
_cell_angle_alpha 90.00
_cell_angle_beta 90.00
_cell_angle_gamma 120.00
loop_
_atom_site_label
_atom_site_type_symbol
_atom_site_fract_x
_atom_site_fract_y
_atom_site_fract_z
Tb1 Tb 0.0000 0.0000 0.0000
Pu1 Pu 0.0000 0.0000 0.3830
Pu2 Pu 0.0000 0.0000 0.5004
Pu3 Pu 0.0000 0.0000 0.8694
Fe1 Fe 0.0000 0.0000 0.1925
Fe2 Fe 0.0000 0.0000 0.6849
Fe3 Fe 0.0008 0.5004 0.9387
Fe4 Fe 0.1675 0.3351 0.7719
```